Record 1
## ErFe4B (PBEsol)

Data for an optimized crystal structure of ErFe4B.

Properties
E_form	-0.260	eV/atom
symmetry	P6/mmm, No. 191
total energy	-8.23	eV/atom

Cell: 4.930 4.930 6.941 Å, 90.00 90.00 120.00°
Positions (direct):
Fe  0.500  0.500  0.285
Fe  0.500  0.000  0.285
Fe  0.000  0.500  0.715
Fe  0.500  0.500  0.715
Fe  0.000  0.500  0.285
Fe  0.500  0.000  0.715
Fe  0.667  0.333  0.000
Fe  0.333  0.667  0.000
B  0.667  0.333  0.500
B  0.333  0.667  0.500
Er  0.000  0.000  0.000
Er  0.000  0.000  0.500

***

Record 2
## ErFeB4 (PBEsol)

Data for an optimized crystal structure of ErFeB4.

Properties
E_form	-0.715	eV/atom
symmetry	Pbam, No. 55
total energy	-7.71	eV/atom

Cell: 3.300 5.828 11.276 Å, 90.00 90.00 90.00°
Positions (direct):
B  0.500  0.638  0.532
B  0.500  0.888  0.454
B  0.500  0.476  0.191
B  0.500  0.283  0.316
B  0.500  0.112  0.546
B  0.500  0.217  0.816
B  0.500  0.717  0.684
B  0.500  0.976  0.309
B  0.500  0.138  0.968
B  0.500  0.612  0.954
B  0.500  0.362  0.468
B  0.500  0.783  0.184
B  0.500  0.524  0.809
B  0.500  0.862  0.032
B  0.500  0.024  0.691
B  0.500  0.388  0.046
Fe  0.000  0.133  0.412
Fe  0.000  0.867  0.588
Fe  0.000  0.633  0.088
Fe  0.000  0.367  0.912
Er  0.000  0.627  0.350
Er  0.000  0.373  0.650
Er  0.000  0.127  0.150
Er  0.000  0.873  0.850

***

Record 3
## ErFe2B2 (PBEsol)

Data for an optimized crystal structure of ErFe2B2.

Properties
E_form	-0.514	eV/atom
symmetry	I4/mmm, No. 139
total energy	-7.89	eV/atom

Cell: 3.524 3.524 5.216 Å, 109.74 109.74 90.00°
Positions (direct):
B  0.353  0.353  0.706
B  0.647  0.647  0.294
Er  0.000  0.000  0.000
Fe  0.250  0.750  0.500
Fe  0.750  0.250  0.500

***

Record 4
## Er3FeB7 (PBEsol)

Data for an optimized crystal structure of Er3FeB7.

Properties
E_form	-0.716	eV/atom
symmetry	Cmcm, No. 63
total energy	-7.34	eV/atom

Cell: 3.349 7.888 9.162 Å, 90.00 90.00 102.26°
Positions (direct):
B  0.458  0.915  0.750
B  0.728  0.455  0.967
B  0.521  0.042  0.902
B  0.479  0.958  0.098
B  0.272  0.545  0.033
B  0.370  0.740  0.153
B  0.542  0.085  0.250
B  0.728  0.455  0.533
B  0.521  0.042  0.598
B  0.272  0.545  0.467
B  0.630  0.260  0.653
B  0.630  0.260  0.847
B  0.370  0.740  0.347
B  0.479  0.958  0.402
Er  0.243  0.486  0.750
Er  0.895  0.790  0.560
Er  0.105  0.210  0.060
Er  0.895  0.790  0.940
Er  0.105  0.210  0.440
Er  0.757  0.514  0.250
Fe  0.947  0.893  0.250
Fe  0.053  0.107  0.750